Entry 1:
DFT (PBE-GGA) results for an optimized crystal structure of Cs2BaZnI6.

Formation energy from raw total energies, meV/atom: -1245
Total moment, μB/f.u.: 0.00

a b c (Å): 12.512 12.512 12.512
angles (deg): 90.00 90.00 90.00
Space group Fm-3m (No. 225)
Symmetry-distinct sites (fractional):
Cs 0.250 0.250 0.250 x8
Ba 0.000 0.000 0.000 x4
Zn 0.000 0.000 0.500 x4
I 0.000 0.000 0.270 x24

Entry 2:
DFT (PBE-GGA) results for an optimized crystal structure of CsBaIn.

ΔE_f, eV per atom: -0.1139
Distance to the lowest polymorph of the same formula, meV per atom: 0.0
Total moment, μB/f.u.: 0.17

a b c (Å): 10.582 6.425 10.436
angles (deg): 90.00 112.05 90.00
Space group C2/m (No. 12)
Symmetry-distinct sites (fractional):
Cs 0.216 0.000 0.115 x4
Ba 0.151 0.500 0.390 x4
In 0.018 0.000 0.647 x4

Entry 3:
DFT (PBE-GGA) results for an optimized crystal structure of CsBa2In2.

ΔE_f, eV per atom: -0.1846
Distance to the lowest polymorph of the same formula, meV per atom: 21.9
Total moment, μB/f.u.: 0.00

a b c (Å): 10.204 10.204 4.476
angles (deg): 90.00 90.00 90.00
Space group P4/mbm (No. 127)
Symmetry-distinct sites (fractional):
Cs 0.000 0.000 0.000 x2
Ba 0.174 0.326 0.500 x4
In 0.111 0.611 0.000 x4

no.,N(E_F) (states/eV per cell)
1,0.0
2,13.4
3,9.5